8
Lattice="4.003 0.000 0.000 2.001 5.644 0.000 0.034 2.180 6.211" Properties=species:S:1:pos:R:3 comment="CrIn2F5, relaxed, DFT GGA+U" density_g_cm3=4.46 e_tot_ev_per_atom=-5.01 space_group="No. 2" pbc="T T T"
Cr 0.000 0.000 0.000
In 2.007 2.536 2.050
In 4.032 5.288 4.161
F 2.003 5.078 1.851
F 2.033 5.949 5.696
F 2.002 0.000 0.000
F 4.006 1.875 0.515
F 4.036 2.746 4.360